(A)
# Sc2TiAu (GGA-PBE, optimized geometry)
data_Sc2TiAu
_chemical_formula_sum 'Sc2 Ti1 Au1'
_cell_length_a 4.608
_cell_length_b 4.608
_cell_length_c 3.741
_cell_angle_alpha 90.00
_cell_angle_beta 90.00
_cell_angle_gamma 90.00
_symmetry_space_group_name_H-M 'P 4/m m m'
_symmetry_Int_Tables_number 123
_symmetry_space_group_name_Hall '-P 4 2'
loop_
_atom_site_label
_atom_site_type_symbol
_atom_site_fract_x
_atom_site_fract_y
_atom_site_fract_z
_atom_site_occupancy
Sc1 Sc 0.000 0.500 0.000 1
Ti1 Ti 0.000 0.000 0.500 1
Au1 Au 0.500 0.500 0.500 1
# Volume = 19.85 A^3/atom
# Total moment = 2.258 μB/f.u.
# Fermi-level density of states = 3.90 states/eV/f.u.



(B)
# Sc2TiAu (GGA-PBE, optimized geometry)
data_Sc2TiAu
_chemical_formula_sum 'Sc8 Ti4 Au4'
_cell_length_a 4.096
_cell_length_b 4.096
_cell_length_c 19.850
_cell_angle_alpha 90.00
_cell_angle_beta 90.00
_cell_angle_gamma 90.00
_symmetry_space_group_name_H-M 'I -4 2 d'
_symmetry_Int_Tables_number 122
_symmetry_space_group_name_Hall 'I -4 2bw'
loop_
_atom_site_label
_atom_site_type_symbol
_atom_site_fract_x
_atom_site_fract_y
_atom_site_fract_z
_atom_site_occupancy
Sc1 Sc 0.246 0.250 0.125 1
Ti1 Ti 0.000 0.000 0.500 1
Au1 Au 0.000 0.000 0.000 1
# Volume = 20.81 A^3/atom
# Total moment = 0.001 μB/f.u.
# Fermi-level density of states = 6.57 states/eV/f.u.



Looking at the structures above, which would you pick as the most stable? I would pick (A).